Record 1
Below is an optimized crystal structure of Pu2UN, with properties calculated at the PBE-GGA level.

Values from the calculation:
* uncorrected formation energy: 0.145 eV per atom
* excess energy over the best structure of this formula in the dataset: 0.000 eV per atom

CIF file:
```
data_Pu2UN
_cell_length_a 3.392
_cell_length_b 3.392
_cell_length_c 5.617
_cell_angle_alpha 90.00
_cell_angle_beta 90.00
_cell_angle_gamma 90.00
_symmetry_space_group_name_H-M 'P 4/m m m'
_symmetry_Int_Tables_number 123
_symmetry_space_group_name_Hall '-P 4 2'
loop_
_atom_site_label
_atom_site_type_symbol
_atom_site_fract_x
_atom_site_fract_y
_atom_site_fract_z
Pu1 Pu 0.000 0.000 0.221
U1 U 0.500 0.500 0.500
N1 N 0.500 0.500 0.000
```

***

Record 2
Below is an optimized crystal structure of LaZrZn17, with properties calculated at the PBE-GGA level.

Values from the calculation:
* E_tot: -2.04 eV/atom
* D(E_F): 13.9 states/eV/cell

CIF file:
```
data_LaZrZn17
_cell_length_a 8.9764
_cell_length_b 8.9764
_cell_length_c 13.1408
_cell_angle_alpha 90.00
_cell_angle_beta 90.00
_cell_angle_gamma 120.00
_symmetry_space_group_name_H-M 'R 3 m'
_symmetry_Int_Tables_number 160
_symmetry_space_group_name_Hall 'R 3 -2"'
loop_
_atom_site_label
_atom_site_type_symbol
_atom_site_fract_x
_atom_site_fract_y
_atom_site_fract_z
La1 La 0.0000 0.0000 0.0000
Zr1 Zr 0.0000 0.0000 0.6665
Zn1 Zn 0.0000 0.0000 0.2422
Zn2 Zn 0.0000 0.0000 0.4413
Zn3 Zn 0.0042 0.2984 0.3355
Zn4 Zn 0.0041 0.5021 0.1859
Zn5 Zn 0.0091 0.5046 0.8336
Zn6 Zn 0.0239 0.5120 0.4872
```

***

Record 3
Below is an optimized crystal structure of ScGa2TeO8, with properties calculated at the PBE-GGA level.

Values from the calculation:
* uncorrected formation energy: -1.521 eV per atom
* D(E_F): 14.4 states/eV/cell

CIF file:
```
data_ScGa2TeO8
_cell_length_a 6.556
_cell_length_b 6.556
_cell_length_c 6.584
_cell_angle_alpha 90.00
_cell_angle_beta 90.00
_cell_angle_gamma 90.00
_symmetry_space_group_name_H-M 'I -4 m 2'
_symmetry_Int_Tables_number 119
_symmetry_space_group_name_Hall 'I -4 -2'
loop_
_atom_site_label
_atom_site_type_symbol
_atom_site_fract_x
_atom_site_fract_y
_atom_site_fract_z
Sc1 Sc 0.000 0.000 0.000
Ga1 Ga 0.000 0.000 0.500
Ga2 Ga 0.000 0.500 0.750
Te1 Te 0.000 0.500 0.250
O1 O 0.000 0.198 0.301
O2 O 0.000 0.316 0.961
```

***

Record 4
Below is an optimized crystal structure of GdNpPtAu, with properties calculated at the PBE-GGA level.

Values from the calculation:
* E_tot: -9.63 eV/atom
* D(E_F): 42.4 states/eV/cell

CIF file:
```
data_GdNpPtAu
_cell_length_a 7.146
_cell_length_b 7.146
_cell_length_c 7.146
_cell_angle_alpha 90.00
_cell_angle_beta 90.00
_cell_angle_gamma 90.00
_symmetry_space_group_name_H-M 'F -4 3 m'
_symmetry_Int_Tables_number 216
_symmetry_space_group_name_Hall 'F -4 2 3'
loop_
_atom_site_label
_atom_site_type_symbol
_atom_site_fract_x
_atom_site_fract_y
_atom_site_fract_z
Gd1 Gd 0.000 0.000 0.000
Np1 Np 0.000 0.000 0.500
Pt1 Pt 0.250 0.250 0.750
Au1 Au 0.250 0.250 0.250
```

***

Record 5
Below is an optimized crystal structure of Rb2MgTeAu, with properties calculated at the PBE-GGA level.

Values from the calculation:
* uncorrected formation energy: -0.270 eV per atom
* D(E_F): 0.7 states/eV/cell

CIF file:
```
data_Rb2MgTeAu
_cell_length_a 6.986
_cell_length_b 6.986
_cell_length_c 5.598
_cell_angle_alpha 90.00
_cell_angle_beta 90.00
_cell_angle_gamma 90.00
_symmetry_space_group_name_H-M 'P 4/m m m'
_symmetry_Int_Tables_number 123
_symmetry_space_group_name_Hall '-P 4 2'
loop_
_atom_site_label
_atom_site_type_symbol
_atom_site_fract_x
_atom_site_fract_y
_atom_site_fract_z
Rb1 Rb 0.000 0.500 0.000
Mg1 Mg 0.000 0.000 0.500
Te1 Te 0.000 0.000 0.000
Au1 Au 0.500 0.500 0.500
```

***

Record 6
Below is an optimized crystal structure of Nd2DyTm5Th, with properties calculated at the PBE-GGA level.

Values from the calculation:
* E_tot: -4.59 eV/atom
* D(E_F): 42.0 states/eV/cell

CIF file:
```
data_Nd2DyTm5Th
_cell_length_a 8.660
_cell_length_b 8.660
_cell_length_c 15.272
_cell_angle_alpha 90.00
_cell_angle_beta 90.00
_cell_angle_gamma 90.00
_symmetry_space_group_name_H-M 'I 4/m c m'
_symmetry_Int_Tables_number 140
_symmetry_space_group_name_Hall '-I 4 2c'
loop_
_atom_site_label
_atom_site_type_symbol
_atom_site_fract_x
_atom_site_fract_y
_atom_site_fract_z
Nd1 Nd 0.116 0.384 0.000
Dy1 Dy 0.000 0.500 0.250
Tm1 Tm 0.000 0.000 0.000
Tm2 Tm 0.213 0.287 0.360
Th1 Th 0.000 0.000 0.250
```

***

Record 7
Below is an optimized crystal structure of CaRu3N, with properties calculated at the PBE-GGA level.

Values from the calculation:
* uncorrected formation energy: 0.135 eV per atom
* excess energy over the best structure of this formula in the dataset: 0.000 eV per atom
* D(E_F): 3.8 states/eV/cell

CIF file:
```
data_CaRu3N
_cell_length_a 4.147
_cell_length_b 4.147
_cell_length_c 4.147
_cell_angle_alpha 90.00
_cell_angle_beta 90.00
_cell_angle_gamma 90.00
_symmetry_space_group_name_H-M 'P m -3 m'
_symmetry_Int_Tables_number 221
_symmetry_space_group_name_Hall '-P 4 2 3'
loop_
_atom_site_label
_atom_site_type_symbol
_atom_site_fract_x
_atom_site_fract_y
_atom_site_fract_z
Ca1 Ca 0.000 0.000 0.000
Ru1 Ru 0.000 0.500 0.500
N1 N 0.500 0.500 0.500
```

***

Record 8
Below is an optimized crystal structure of Sm9Y2Tm, with properties calculated at the PBE-GGA level.

Values from the calculation:
* E_tot: -4.97 eV/atom
* D(E_F): 18.9 states/eV/cell

CIF file:
```
data_Sm9Y2Tm
_cell_length_a 5.100
_cell_length_b 5.100
_cell_length_c 15.306
_cell_angle_alpha 90.00
_cell_angle_beta 90.00
_cell_angle_gamma 90.00
_symmetry_space_group_name_H-M 'P 4/m m m'
_symmetry_Int_Tables_number 123
_symmetry_space_group_name_Hall '-P 4 2'
loop_
_atom_site_label
_atom_site_type_symbol
_atom_site_fract_x
_atom_site_fract_y
_atom_site_fract_z
Sm1 Sm 0.000 0.000 0.000
Sm2 Sm 0.000 0.000 0.332
Sm3 Sm 0.000 0.500 0.165
Sm4 Sm 0.000 0.500 0.500
Y1 Y 0.500 0.500 0.333
Tm1 Tm 0.500 0.500 0.000
```

***

Record 9
Below is an optimized crystal structure of Tm4Zn5Cu2, with properties calculated at the PBE-GGA level.

Values from the calculation:
* E_tot: -3.23 eV/atom
* D(E_F): 7.7 states/eV/cell

CIF file:
```
data_Tm4Zn5Cu2
_cell_length_a 6.914
_cell_length_b 3.542
_cell_length_c 9.006
_cell_angle_alpha 90.00
_cell_angle_beta 93.55
_cell_angle_gamma 90.00
_symmetry_space_group_name_H-M 'P 1 2/m 1'
_symmetry_Int_Tables_number 10
loop_
_symmetry_equiv_pos_as_xyz
'x,y,z'
'-x,-y,-z'
'-x,y,-z'
'x,-y,z'
loop_
_atom_site_label
_atom_site_type_symbol
_atom_site_fract_x
_atom_site_fract_y
_atom_site_fract_z
Tm1 Tm 0.174 0.000 0.372
Tm2 Tm 0.255 0.000 0.941
Zn1 Zn 0.197 0.500 0.658
Zn2 Zn 0.440 0.500 0.201
Zn3 Zn 0.500 0.500 0.500
Cu1 Cu 0.061 0.500 0.135
```

***

Record 10
Below is an optimized crystal structure of UBeGa, with properties calculated at the PBE-GGA level.

Values from the calculation:
* excess energy over the best structure of this formula in the dataset: 0.194 eV per atom
* D(E_F): 11.6 states/eV/cell

CIF file:
```
data_UBeGa
_cell_length_a 4.024
_cell_length_b 4.583
_cell_length_c 5.746
_cell_angle_alpha 90.00
_cell_angle_beta 90.00
_cell_angle_gamma 90.00
_symmetry_space_group_name_H-M 'P m m a'
_symmetry_Int_Tables_number 51
loop_
_symmetry_equiv_pos_as_xyz
'x,y,z'
'-x,-y,-z'
'-x+1/2,-y,z'
'x+1/2,y,-z'
'x+1/2,-y,-z'
'-x+1/2,y,z'
'-x,y,-z'
'x,-y,z'
loop_
_atom_site_label
_atom_site_type_symbol
_atom_site_fract_x
_atom_site_fract_y
_atom_site_fract_z
U1 U 0.250 0.000 0.235
Be1 Be 0.000 0.500 0.500
Ga1 Ga 0.250 0.500 0.860
```

***

Record 11
Below is an optimized crystal structure of Zr2MoOs, with properties calculated at the PBE-GGA level.

Values from the calculation:
* E_tot: -9.84 eV/atom
* D(E_F): 4.2 states/eV/cell

CIF file:
```
data_Zr2MoOs
_cell_length_a 3.284
_cell_length_b 4.485
_cell_length_c 4.897
_cell_angle_alpha 90.00
_cell_angle_beta 90.00
_cell_angle_gamma 90.00
_symmetry_space_group_name_H-M 'P m m m'
_symmetry_Int_Tables_number 47
loop_
_symmetry_equiv_pos_as_xyz
'x,y,z'
'-x,-y,-z'
'-x,-y,z'
'x,y,-z'
'x,-y,-z'
'-x,y,z'
'-x,y,-z'
'x,-y,z'
loop_
_atom_site_label
_atom_site_type_symbol
_atom_site_fract_x
_atom_site_fract_y
_atom_site_fract_z
Zr1 Zr 0.000 0.000 0.000
Zr2 Zr 0.500 0.000 0.500
Mo1 Mo 0.000 0.500 0.500
Os1 Os 0.500 0.500 0.000
```

***

Record 12
Below is an optimized crystal structure of SrLi2Mn, with properties calculated at the PBE-GGA level.

Values from the calculation:
* excess energy over the best structure of this formula in the dataset: 0.076 eV per atom
* D(E_F): 3.3 states/eV/cell

CIF file:
```
data_SrLi2Mn
_cell_length_a 4.594
_cell_length_b 4.594
_cell_length_c 5.024
_cell_angle_alpha 90.00
_cell_angle_beta 90.00
_cell_angle_gamma 90.00
_symmetry_space_group_name_H-M 'P 4/m m m'
_symmetry_Int_Tables_number 123
_symmetry_space_group_name_Hall '-P 4 2'
loop_
_atom_site_label
_atom_site_type_symbol
_atom_site_fract_x
_atom_site_fract_y
_atom_site_fract_z
Sr1 Sr 0.000 0.000 0.000
Li1 Li 0.000 0.500 0.500
Mn1 Mn 0.500 0.500 0.000
```